Entry 1:
First-principles (PBE) data for an optimized crystal structure of CsBi2Cl8, as listed in Alexandria via LeMat-Bulk.

Cell and atoms, written as extended XYZ:
```
11
Lattice="5.347 0.306 0.459 -0.451 8.272 -0.323 -0.451 -3.485 7.510" Properties=species:S:1:pos:R:3 pbc="T T T"
Cl -0.166 2.539 0.267
Cl 3.545 2.622 3.935
Cl 4.610 5.825 5.200
Cl 2.222 5.387 1.930
Cl 4.610 2.555 7.379
Cl 2.222 -0.294 5.715
Cl -0.166 -0.732 2.445
Cl 0.899 2.472 3.710
Bi -0.451 0.026 5.171
Bi -0.451 4.762 2.015
Cs 2.673 0.153 0.229
```

Computed properties:
total energy: -35.05 eV/cell
energy relative to the lowest polymorph listed for this composition: 0 meV per atom
DOS(E_F): 1.465 states/eV/cell
magnetization: 0.00 μB per cell
crystal system: orthorhombic
E_form (uncorrected): -1060 meV per atom

Entry 2:
First-principles (PBE) data for an optimized crystal structure of Li2PmPaTe4, as listed in Alexandria via LeMat-Bulk.

Cell and atoms, written as extended XYZ:
```
8
Lattice="-0.893 -1.547 3.921 -3.458 -5.932 -3.128 7.341 -1.666 1.015" Properties=species:S:1:pos:R:3 pbc="T T T"
Te 0.590 -2.754 1.415
Te -0.665 -4.895 -2.082
Te 4.548 -2.703 -0.030
Te 2.400 -6.391 0.393
Pa -2.175 -3.739 0.397
Li 3.224 -1.607 2.468
Li 1.942 -3.799 -1.056
Pm 0.000 0.000 0.000
```

Computed properties:
total energy: -39.11 eV/cell
DOS(E_F): 7.208 states/eV/cell
magnetization: 1.80 μB per cell
crystal system: monoclinic
E_form (uncorrected): -1058 meV per atom